# PBE Nd2GdLu, optimized geometry
data_Nd2GdLu
_cell_length_a 4.076
_cell_length_b 4.076
_cell_length_c 8.046
_cell_angle_alpha 90.00
_cell_angle_beta 90.00
_cell_angle_gamma 90.00
_symmetry_space_group_name_H-M 'P 4/m m m'
_symmetry_Int_Tables_number 123
_symmetry_space_group_name_Hall '-P 4 2'
loop_
_atom_site_label
_atom_site_type_symbol
_atom_site_fract_x
_atom_site_fract_y
_atom_site_fract_z
Nd1 Nd 0.000 0.000 0.235
Gd1 Gd 0.500 0.500 0.500
Lu1 Lu 0.500 0.500 0.000
# - raw total energy (eV per atom) = -6.951
# - density of states at the Fermi level (states/eV per cell) = 6.57
# - energy above the most stable polymorph in this dataset (eV per formula unit) = 0.26
# - energy relative to the elements (eV per atom) = 0.0838

=====

# PBE Rb2PuF4, optimized geometry
data_Rb2PuF4
_cell_length_a 4.792
_cell_length_b 4.792
_cell_length_c 14.879
_cell_angle_alpha 90.00
_cell_angle_beta 90.00
_cell_angle_gamma 90.00
_symmetry_space_group_name_H-M 'I 4/m m m'
_symmetry_Int_Tables_number 139
_symmetry_space_group_name_Hall '-I 4 2'
loop_
_atom_site_label
_atom_site_type_symbol
_atom_site_fract_x
_atom_site_fract_y
_atom_site_fract_z
Rb1 Rb 0.000 0.000 0.157
Pu1 Pu 0.000 0.000 0.500
F1 F 0.000 0.000 0.341
F2 F 0.000 0.500 0.000
# - raw total energy (eV per atom) = -6.216
# - density of states at the Fermi level (states/eV per cell) = 17.83

=====

# PBE TlAg2Sb, optimized geometry
data_TlAg2Sb
_cell_length_a 6.760
_cell_length_b 8.697
_cell_length_c 3.143
_cell_angle_alpha 90.00
_cell_angle_beta 90.00
_cell_angle_gamma 90.00
_symmetry_space_group_name_H-M 'C m m m'
_symmetry_Int_Tables_number 65
_symmetry_space_group_name_Hall '-C 2 2'
loop_
_atom_site_label
_atom_site_type_symbol
_atom_site_fract_x
_atom_site_fract_y
_atom_site_fract_z
Tl1 Tl 0.000 0.000 0.000
Ag1 Ag 0.250 0.250 0.500
Sb1 Sb 0.000 0.500 0.000
# - raw total energy (eV per atom) = -2.896
# - density of states at the Fermi level (states/eV per cell) = 2.57

=====

# PBE Al2SbBr, optimized geometry
data_Al2SbBr
_cell_length_a 5.579
_cell_length_b 5.579
_cell_length_c 6.067
_cell_angle_alpha 90.00
_cell_angle_beta 90.00
_cell_angle_gamma 90.00
_symmetry_space_group_name_H-M 'I -4 m 2'
_symmetry_Int_Tables_number 119
_symmetry_space_group_name_Hall 'I -4 -2'
loop_
_atom_site_label
_atom_site_type_symbol
_atom_site_fract_x
_atom_site_fract_y
_atom_site_fract_z
Al1 Al 0.000 0.000 0.000
Al2 Al 0.000 0.500 0.250
Sb1 Sb 0.000 0.500 0.750
Br1 Br 0.000 0.000 0.500
# - raw total energy (eV per atom) = -3.058
# - density of states at the Fermi level (states/eV per cell) = 1.93
# - energy above the most stable polymorph in this dataset (eV per formula unit) = 1.57

=====

# PBE Hf3Ga2Ni, optimized geometry
data_Hf3Ga2Ni
_cell_length_a 10.717
_cell_length_b 4.141
_cell_length_c 9.698
_cell_angle_alpha 90.00
_cell_angle_beta 90.00
_cell_angle_gamma 90.00
_symmetry_space_group_name_H-M 'P n m a'
_symmetry_Int_Tables_number 62
_symmetry_space_group_name_Hall '-P 2ac 2n'
loop_
_atom_site_label
_atom_site_type_symbol
_atom_site_fract_x
_atom_site_fract_y
_atom_site_fract_z
Hf1 Hf 0.043 0.250 0.140
Hf2 Hf 0.152 0.750 0.594
Hf3 Hf 0.214 0.250 0.825
Ga1 Ga 0.011 0.750 0.340
Ga2 Ga 0.178 0.750 0.025
Ni1 Ni 0.120 0.250 0.400
# - raw total energy (eV per atom) = -7.412
# - density of states at the Fermi level (states/eV per cell) = 14.43
# - energy relative to the elements (eV per atom) = -0.4629

=====

# PBE Ag3TeMo, optimized geometry
data_Ag3TeMo
_cell_length_a 5.106
_cell_length_b 5.106
_cell_length_c 5.106
_cell_angle_alpha 90.00
_cell_angle_beta 90.00
_cell_angle_gamma 90.00
_symmetry_space_group_name_H-M 'P m -3 m'
_symmetry_Int_Tables_number 221
_symmetry_space_group_name_Hall '-P 4 2 3'
loop_
_atom_site_label
_atom_site_type_symbol
_atom_site_fract_x
_atom_site_fract_y
_atom_site_fract_z
Ag1 Ag 0.000 0.000 0.500
Te1 Te 0.500 0.500 0.500
Mo1 Mo 0.000 0.000 0.000
# - raw total energy (eV per atom) = -3.021
# - density of states at the Fermi level (states/eV per cell) = 12.41
# - energy above the most stable polymorph in this dataset (eV per formula unit) = 0.99

=====

# PBE TbScNi, optimized geometry
data_TbScNi
_cell_length_a 3.318
_cell_length_b 3.318
_cell_length_c 11.733
_cell_angle_alpha 90.00
_cell_angle_beta 90.00
_cell_angle_gamma 90.00
_symmetry_space_group_name_H-M 'I 4 m m'
_symmetry_Int_Tables_number 107
_symmetry_space_group_name_Hall 'I 4 -2'
loop_
_atom_site_label
_atom_site_type_symbol
_atom_site_fract_x
_atom_site_fract_y
_atom_site_fract_z
Tb1 Tb 0.000 0.000 0.000
Sc1 Sc 0.000 0.000 0.268
Ni1 Ni 0.000 0.000 0.652
# - raw total energy (eV per atom) = -5.833
# - density of states at the Fermi level (states/eV per cell) = 6.08
# - energy above the most stable polymorph in this dataset (eV per formula unit) = 0.11
# - energy relative to the elements (eV per atom) = -0.2524

=====

# PBE CoReAu2, optimized geometry
data_CoReAu2
_cell_length_a 2.774
_cell_length_b 4.708
_cell_length_c 9.577
_cell_angle_alpha 90.00
_cell_angle_beta 90.00
_cell_angle_gamma 90.00
_symmetry_space_group_name_H-M 'I m m m'
_symmetry_Int_Tables_number 71
_symmetry_space_group_name_Hall '-I 2 2'
loop_
_atom_site_label
_atom_site_type_symbol
_atom_site_fract_x
_atom_site_fract_y
_atom_site_fract_z
Co1 Co 0.000 0.000 0.000
Re1 Re 0.000 0.000 0.500
Au1 Au 0.000 0.500 0.263
# - raw total energy (eV per atom) = -5.918
# - density of states at the Fermi level (states/eV per cell) = 8.78
# - energy above the most stable polymorph in this dataset (eV per formula unit) = 1.64
# - energy relative to the elements (eV per atom) = 0.6090